Below is a relaxed structure of LaMnO3, with properties calculated at the GGA+U level. Values from VASP.

Computed properties:
Its calculated total energy is -7.3128 eV per atom.

Structure (Quantum ESPRESSO input):
```
&SYSTEM
  ibrav = 0, nat = 5, ntyp = 3
/
ATOMIC_SPECIES
La 138.91 La.upf
Mn 54.94 Mn.upf
O 16.00 O.upf
CELL_PARAMETERS angstrom
4.005 0.000 0.000
0.000 4.005 0.000
0.000 0.000 5.844
ATOMIC_POSITIONS crystal
La 0.000 0.000 0.000
Mn 0.500 0.500 0.329
O 0.000 0.000 0.646
O 0.000 0.500 0.218
O 0.500 0.000 0.218
```